(1)
# LiCaMn2

An optimized crystal structure of LiCaMn2 (GGA-PBE, the Alexandria database).

a = 5.802 Å, b = 5.802 Å, c = 2.996 Å
α = 102.27°, β = 102.27°, γ = 120.74°
Fractional coordinates of all 4 atoms:
Li (0.000, 0.000, 0.000)
Ca (0.500, 0.500, 0.000)
Mn (0.000, 0.500, 0.500)
Mn (0.500, 0.000, 0.500)

## Properties
energy: -4.950 eV/atom
energy relative to the lowest polymorph listed for this composition: 0.286 eV/atom
space-group type: C2/m, No. 12
mass density: 3.33 Mg/m³

***

(2)
# Be3SnRu

An optimized crystal structure of Be3SnRu (GGA-PBE, the Alexandria database).

a = 4.360 Å, b = 4.360 Å, c = 4.360 Å
α = 90.00°, β = 90.00°, γ = 90.00°
Fractional coordinates of all 5 atoms:
Be (0.000, 0.000, 0.500)
Be (0.000, 0.500, 0.000)
Be (0.500, 0.000, 0.000)
Sn (0.000, 0.000, 0.000)
Ru (0.500, 0.500, 0.500)

## Properties
energy: -3.260 eV/atom
energy relative to the lowest polymorph listed for this composition: 1.150 eV/atom
space-group type: Pm-3m, No. 221
mass density: 4.95 Mg/m³